Entry 1:
Computed, not measured: a relaxed Y6HoSc crystal at the PBE level of DFT.

Energy: -6.202 eV/atom
Energy relative to the elements: 0.010 eV per atom
D(E_F): 17.07 states/eV/f.u.
Crystal system: orthorhombic
Space group: Amm2

a = 5.6040 Å, b = 7.2039 Å, c = 7.2039 Å
α = 119.99°, β = 90.00°, γ = 90.00°
Last column: nearest neighbours and their distance in Å.
Atoms (fractional coordinates):
Y 0.0000 0.0871 0.4186  2 Sc 3.47, 8 Y 3.50-3.64, 2 Ho 3.60
Y 0.0000 0.5814 0.9129  2 Sc 3.47, 8 Y 3.50-3.64, 2 Ho 3.60
Y 0.0000 0.5814 0.4186  2 Sc 3.48, 8 Y 3.50-3.64, 2 Ho 3.60
Y 0.5000 0.4142 0.0821  2 Ho 3.48, 8 Y 3.50-3.63, 2 Sc 3.60-3.61
Y 0.5000 0.9179 0.5858  2 Ho 3.48, 8 Y 3.50-3.63, 2 Sc 3.60-3.61
Y 0.5000 0.9178 0.0822  2 Ho 3.48, 8 Y 3.50-3.63, 2 Sc 3.60
Ho 0.0000 0.0835 0.9165  12 Y 3.48-3.60
Sc 0.5000 0.4163 0.5837  12 Y 3.47-3.61

---

Entry 2:
Computed, not measured: a relaxed YHo2Sc crystal at the PBE level of DFT.

Energy: -5.352 eV/atom
Energy relative to the elements: 0.136 eV per atom
D(E_F): 8.99 states/eV/f.u.
Crystal system: cubic
Space group: Fm-3m

a = 5.5314 Å, b = 5.5314 Å, c = 5.5314 Å
α = 60.00°, β = 60.00°, γ = 60.00°
Last column: nearest neighbours and their distance in Å.
Atoms (fractional coordinates):
Y 0.5000 0.5000 0.5000  8 Ho 3.39
Sc 0.0000 0.0000 0.0000  8 Ho 3.39
Ho 0.2500 0.2500 0.2500  4 Y 3.39, 4 Sc 3.39
Ho 0.7500 0.7500 0.7500  4 Y 3.39, 4 Sc 3.39

---

Entry 3:
Computed, not measured: a relaxed Y6HoSc2 crystal at the PBE level of DFT.

Energy: -6.145 eV/atom
Energy relative to the elements: 0.080 eV per atom
D(E_F): 17.98 states/eV/f.u.
Crystal system: orthorhombic
Space group: Ibam

a = 5.5250 Å, b = 11.7104 Å, c = 11.7104 Å
α = 48.19°, β = 103.61°, γ = 103.61°
Last column: nearest neighbours and their distance in Å.
Atoms (fractional coordinates):
Y 0.8313 0.5028 0.6696  4 Y 3.19-3.56, 1 Sc 3.38
Y 0.6687 0.3304 0.4972  4 Y 3.19-3.56, 1 Sc 3.38
Y 0.1687 0.4972 0.3304  4 Y 3.19-3.56, 1 Sc 3.38
Y 0.3313 0.6696 0.5028  4 Y 3.19-3.56, 1 Sc 3.38
Y 0.9190 0.9197 0.4193  7 Y 3.33-3.64, 1 Ho 3.50, 6 Sc 3.58-3.61
Y 0.5810 0.5807 0.0803  7 Y 3.33-3.64, 1 Ho 3.50, 6 Sc 3.58-3.61
Y 0.0810 0.0803 0.5807  7 Y 3.33-3.64, 1 Ho 3.50, 6 Sc 3.58-3.61
Y 0.4190 0.4193 0.9197  7 Y 3.33-3.64, 1 Ho 3.50, 6 Sc 3.58-3.61
Y 0.1605 0.8304 0.9974  4 Y 3.19-3.56, 1 Sc 3.39
Y 0.3395 0.0026 0.1696  4 Y 3.19-3.56, 1 Sc 3.39
Y 0.8395 0.1696 0.0026  4 Y 3.19-3.56, 1 Sc 3.39
Y 0.6605 0.9974 0.8304  4 Y 3.19-3.56, 1 Sc 3.39
Ho 0.2500 0.2501 0.7499  14 Y 3.50-3.67
Ho 0.7500 0.7499 0.2501  14 Y 3.50-3.67
Sc 0.0030 0.6666 0.8334  3 Sc 3.19, 2 Y 3.38-3.39
Sc 0.4970 0.1666 0.3334  3 Sc 3.19, 2 Y 3.38-3.39
Sc 0.9970 0.3334 0.1666  3 Sc 3.19, 2 Y 3.38-3.39
Sc 0.5030 0.8334 0.6666  3 Sc 3.19, 2 Y 3.38-3.39

---

Entry 4:
Computed, not measured: a relaxed Y2Ho2Sc crystal at the PBE level of DFT.

Energy: -5.512 eV/atom
Energy relative to the elements: 0.171 eV per atom
D(E_F): 4.06 states/eV/f.u.
Crystal system: tetragonal
Space group: P4/mbm

a = 9.0587 Å, b = 9.0587 Å, c = 3.7213 Å
α = 90.00°, β = 90.00°, γ = 90.00°
Last column: nearest neighbours and their distance in Å.
Atoms (fractional coordinates):
Y 0.3303 0.8303 0.5000  6 Ho 3.16-3.31
Y 0.8303 0.6697 0.5000  6 Ho 3.16-3.31
Y 0.6697 0.1697 0.5000  6 Ho 3.16-3.31
Y 0.1697 0.3303 0.5000  6 Ho 3.16-3.31
Ho 0.1305 0.6305 0.0000  6 Y 3.16-3.31, 1 Ho 3.34
Ho 0.6305 0.8695 0.0000  6 Y 3.16-3.31, 1 Ho 3.34
Ho 0.8695 0.3695 0.0000  6 Y 3.16-3.31, 1 Ho 3.34
Ho 0.3695 0.1305 0.0000  6 Y 3.16-3.31, 1 Ho 3.34
Sc 0.0000 0.0000 0.0000  4 Ho 3.55, 2 Sc 3.72, 8 Y 3.84
Sc 0.5000 0.5000 0.0000  4 Ho 3.55, 2 Sc 3.72, 8 Y 3.84

---

Entry 5:
Computed, not measured: a relaxed YHoSc3 crystal at the PBE level of DFT.

Energy: -5.832 eV/atom
Energy relative to the elements: 0.175 eV per atom
D(E_F): 8.71 states/eV/f.u.
Crystal system: monoclinic
Space group: C2/m

a = 7.0690 Å, b = 7.6254 Å, c = 6.4517 Å
α = 102.97°, β = 123.22°, γ = 90.00°
Last column: nearest neighbours and their distance in Å.
Atoms (fractional coordinates):
Y 0.3894 0.7782 0.7788  7 Sc 3.34-3.70, 1 Ho 3.44, 1 Y 3.58
Y 0.6106 0.2218 0.2212  7 Sc 3.34-3.70, 1 Ho 3.44, 1 Y 3.58
Ho 0.8490 0.9991 0.6980  6 Sc 3.09-3.42, 1 Ho 3.26, 1 Y 3.44
Ho 0.1510 0.0009 0.3020  6 Sc 3.09-3.42, 1 Ho 3.26, 1 Y 3.44
Sc 0.8459 0.6618 0.2751  4 Sc 2.92-3.27
Sc 0.1022 0.3819 0.2045  7 Sc 2.92-3.27, 1 Ho 3.09
Sc 0.4292 0.6618 0.2751  4 Sc 2.92-3.27
Sc 0.5708 0.3382 0.7249  4 Sc 2.92-3.27
Sc 0.1541 0.3382 0.7249  4 Sc 2.92-3.27
Sc 0.8978 0.6181 0.7955  7 Sc 2.92-3.27, 1 Ho 3.09

---

Entry 6:
Computed, not measured: a relaxed Y3Ho8Sc2 crystal at the PBE level of DFT.

Energy: -5.045 eV/atom
Energy relative to the elements: 0.238 eV per atom
D(E_F): 15.93 states/eV/f.u.
Crystal system: monoclinic
Space group: C2/m

a = 6.6666 Å, b = 9.2855 Å, c = 9.2855 Å
α = 58.46°, β = 62.76°, γ = 62.76°
Last column: nearest neighbours and their distance in Å.
Atoms (fractional coordinates):
Y 0.5000 0.0000 0.0000  6 Ho 3.10-3.41, 2 Sc 3.36
Y 0.0000 0.1722 0.8278  1 Y 3.12, 4 Ho 3.39-3.40
Y 0.0000 0.8278 0.1722  1 Y 3.12, 4 Ho 3.39-3.40
Ho 0.0446 0.5895 0.5895  4 Ho 3.25-3.41, 2 Y 3.39, 1 Sc 3.45
Ho 0.9554 0.4105 0.4105  4 Ho 3.25-3.41, 2 Y 3.39, 1 Sc 3.45
Ho 0.0127 0.1910 0.1910  1 Y 3.10, 2 Sc 3.23-3.45, 3 Ho 3.37-3.41
Ho 0.9873 0.8090 0.8090  1 Y 3.10, 2 Sc 3.23-3.45, 3 Ho 3.37-3.41
Ho 0.5520 0.5601 0.1976  4 Ho 3.29-3.61, 2 Sc 3.31-3.39, 2 Y 3.40-3.41
Ho 0.5520 0.1976 0.5601  4 Ho 3.29-3.61, 2 Sc 3.31-3.39, 2 Y 3.40-3.41
Ho 0.4480 0.8024 0.4399  4 Ho 3.29-3.61, 2 Sc 3.31-3.39, 2 Y 3.40-3.41
Ho 0.4480 0.4399 0.8024  4 Ho 3.29-3.61, 2 Sc 3.31-3.39, 2 Y 3.40-3.41
Sc 0.5119 0.2049 0.2049  7 Ho 3.23-3.45, 3 Y 3.36-3.57
Sc 0.4881 0.7951 0.7951  7 Ho 3.23-3.45, 3 Y 3.36-3.57

---

Entry 7:
Computed, not measured: a relaxed Y3Ho4Sc crystal at the PBE level of DFT.

Energy: -5.492 eV/atom
Energy relative to the elements: 0.013 eV per atom
D(E_F): 14.34 states/eV/f.u.
Crystal system: orthorhombic
Space group: Pmn2_1

a = 6.2076 Å, b = 7.1806 Å, c = 11.1191 Å
α = 90.00°, β = 90.00°, γ = 90.00°
Last column: nearest neighbours and their distance in Å.
Atoms (fractional coordinates):
Y 0.6451 0.6246 0.0000  4 Y 3.46-3.47, 6 Ho 3.50-3.63, 2 Sc 3.58-3.59
Y 0.9799 0.6242 0.2490  2 Sc 3.45-3.48, 4 Y 3.46-3.58, 6 Ho 3.48-3.60
Y 0.4799 0.3758 0.2510  2 Sc 3.45-3.48, 4 Y 3.46-3.58, 6 Ho 3.48-3.60
Y 0.1451 0.3754 0.5000  4 Y 3.46-3.47, 6 Ho 3.50-3.63, 2 Sc 3.58-3.59
Y 0.4799 0.3758 0.7490  2 Sc 3.45-3.48, 4 Y 3.46-3.58, 6 Ho 3.48-3.60
Y 0.9799 0.6242 0.7510  2 Sc 3.45-3.48, 4 Y 3.46-3.58, 6 Ho 3.48-3.60
Ho 0.1530 0.8757 0.0000  6 Ho 3.43-3.62, 4 Y 3.48-3.63, 2 Sc 3.58-3.60
Ho 0.6466 0.1253 0.0000  6 Ho 3.43-3.62, 4 Y 3.48-3.60, 2 Sc 3.58-3.59
Ho 0.9828 0.1261 0.2453  1 Sc 3.41, 6 Ho 3.43-3.60, 5 Y 3.50-3.60
Ho 0.4828 0.8739 0.2547  1 Sc 3.41, 6 Ho 3.43-3.60, 5 Y 3.50-3.60
Ho 0.1466 0.8747 0.5000  6 Ho 3.43-3.62, 4 Y 3.48-3.60, 2 Sc 3.58-3.59
Ho 0.6530 0.1243 0.5000  6 Ho 3.43-3.62, 4 Y 3.48-3.63, 2 Sc 3.58-3.60
Ho 0.4828 0.8739 0.7453  1 Sc 3.41, 6 Ho 3.43-3.60, 5 Y 3.50-3.60
Ho 0.9828 0.1261 0.7547  1 Sc 3.41, 6 Ho 3.43-3.60, 5 Y 3.50-3.60
Sc 0.1452 0.3746 0.0000  6 Ho 3.41-3.60, 6 Y 3.45-3.59
Sc 0.6452 0.6254 0.5000  6 Ho 3.41-3.60, 6 Y 3.45-3.59

---

Entry 8:
Computed, not measured: a relaxed Y4HoSc3 crystal at the PBE level of DFT.

Energy: -5.732 eV/atom
Energy relative to the elements: 0.447 eV per atom
D(E_F): 16.01 states/eV/f.u.
Crystal system: orthorhombic
Space group: Cmmm

a = 3.3101 Å, b = 8.5826 Å, c = 8.5826 Å
α = 96.48°, β = 90.00°, γ = 90.00°
Last column: nearest neighbours and their distance in Å.
Atoms (fractional coordinates):
Y 0.0000 0.7410 0.7410  4 Sc 3.20-3.21, 2 Y 3.31, 2 Ho 3.39
Y 0.5000 0.2581 0.7419  5 Sc 3.10-3.30, 1 Ho 3.31, 2 Y 3.31
Y 0.0000 0.2590 0.2590  4 Sc 3.20-3.21, 2 Y 3.31, 2 Ho 3.39
Y 0.5000 0.7419 0.2581  5 Sc 3.10-3.30, 1 Ho 3.31, 2 Y 3.31
Ho 0.5000 0.0000 0.0000  6 Y 3.31-3.39, 2 Ho 3.31
Sc 0.0000 0.0000 0.5000  6 Y 3.20-3.30, 2 Sc 3.31
Sc 0.5000 0.5000 0.5000  6 Y 3.10-3.21, 2 Sc 3.31
Sc 0.0000 0.5000 0.0000  6 Y 3.20-3.30, 2 Sc 3.31

---

Entry 9:
Computed, not measured: a relaxed YHoSc2 crystal at the PBE level of DFT.

Energy: -5.872 eV/atom
Energy relative to the elements: 0.055 eV per atom
D(E_F): 6.72 states/eV/f.u.
Crystal system: tetragonal
Space group: P4/mmm

a = 3.4536 Å, b = 3.4536 Å, c = 9.3703 Å
α = 90.00°, β = 90.00°, γ = 90.00°
Last column: nearest neighbours and their distance in Å.
Atoms (fractional coordinates):
Y 0.5000 0.5000 0.5000  8 Sc 3.40, 4 Y 3.45
Sc 0.0000 0.0000 0.7528  4 Ho 3.37, 4 Y 3.40, 4 Sc 3.45
Sc 0.0000 0.0000 0.2472  4 Ho 3.37, 4 Y 3.40, 4 Sc 3.45
Ho 0.5000 0.5000 0.0000  8 Sc 3.37, 4 Ho 3.45